# UNbV2O6 PBE with a Hubbard U relaxed
data_UNbV2O6
_chemical_formula_sum 'U3 Nb3 V6 O18'
_space_group_name_H-M_alt 'R 3'
_space_group_IT_number 146
_space_group_name_Hall 'R 3'
_cell_length_a 5.4170
_cell_length_b 5.4170
_cell_length_c 14.9737
_cell_angle_alpha 90.00
_cell_angle_beta 90.00
_cell_angle_gamma 120.00
loop_
_atom_site_label
_atom_site_type_symbol
_atom_site_fract_x
_atom_site_fract_y
_atom_site_fract_z
_atom_site_occupancy
U1 U 0.0000 0.0000 0.0000 1
Nb1 Nb 0.0000 0.0000 0.4973 1
V1 V 0.0000 0.0000 0.3038 1
V2 V 0.0000 0.0000 0.8031 1
O1 O 0.0051 0.3004 0.4018 1
O2 O 0.0253 0.6769 0.5655 1
# Electronic total energy (eV/atom): -8.91
# DOS(E_F) (states/eV per cell): 18.4